TaFeSbPt: relaxed, PBE.

Values from the calculation:
Calculated density in g/cm³: 13.734
Relative energy among the computed polymorphs in meV/atom: 0
Total magnetization in μB/f.u.: 1.675

Cell lengths 6.445, 6.445, 6.445 Å; angles 90.00, 90.00, 90.00 degrees
Space group F-43m (No. 216)
Asymmetric unit:
Ta: 0.000 0.000 0.000
Fe: 0.000 0.000 0.500
Sb: 0.250 0.250 0.250
Pt: 0.250 0.250 0.750



FeTcSbPt: relaxed, PBE.

Values from the calculation:
Calculated density in g/cm³: 12.435
Relative energy among the computed polymorphs in meV/atom: 0
Total magnetization in μB/f.u.: 2.564

Cell lengths 6.312, 6.312, 6.312 Å; angles 90.00, 90.00, 90.00 degrees
Space group F-43m (No. 216)
Asymmetric unit:
Fe: 0.000 0.000 0.000
Tc: 0.000 0.000 0.500
Sb: 0.250 0.250 0.750
Pt: 0.250 0.250 0.250



Which formula does entry 1 have?
TaFeSbPt



Among the records above, which one has the highest total magnetization?
FeTcSbPt



relative energy among the computed polymorphs of number 1 (TaFeSbPt)?
0 meV/atom



The lowest total magnetization belongs to which entry?
TaFeSbPt